A plane-wave DFT calculation with PBE was carried out for BaLi4GaPb2 after structural relaxation.

```
BaLi4GaPb2
1.0
2.4180 1.3960 9.5838
-2.4180 1.3960 9.5838
0.0000 -2.7920 9.5838
Ba Li Ga Pb
1 4 1 2
Direct
0.0000 0.0000 0.0000
0.1358 0.1358 0.1358
0.4119 0.4119 0.4119
0.5881 0.5881 0.5881
0.8642 0.8642 0.8642
0.5000 0.5000 0.5000
0.2440 0.2440 0.2440
0.7560 0.7560 0.7560
```

Values from the calculation:
Electronic total energy (eV per atom): -2.8114
SG: R-3m (166)
Calculated formation energy (eV/atom): -0.309
Fermi-level density of states (states/eV/cell): 3.03